[1]
LaPd6Au (PBE, relaxed); total magnetic moment = 0.000 μB/cell; Fermi-level density of states = 1.129 states/eV per atom; DFT total energy = -42.61 eV/cell; symmetry = P4/mmm, No. 123
1.0
-3.477 1.347 -1.984
-2.798 0.171 5.020
1.682 5.446 0.751
Pd La Au
6 1 1
Direct
0.500 0.000 0.500
0.500 0.500 0.000
0.000 0.742 0.258
0.000 0.258 0.742
0.000 0.258 0.258
0.000 0.742 0.742
0.500 0.000 0.000
0.500 0.500 0.500



[2]
La3Pd5Au (PBE, relaxed); total magnetic moment = 0.000 μB/cell; Fermi-level density of states = 0.314 states/eV per atom; DFT total energy = -98.30 eV/cell; symmetry = I4/mcm, No. 140
1.0
-7.558 -4.078 1.470
4.064 -7.694 -0.452
2.713 6.074 4.975
La Pd Au
6 10 2
Direct
0.868 0.632 0.000
0.632 0.132 0.000
0.250 0.250 0.500
0.132 0.368 0.000
0.368 0.868 0.000
0.750 0.750 0.500
0.445 0.334 0.279
0.945 0.445 0.279
0.666 0.166 0.721
0.334 0.834 0.279
0.166 0.055 0.721
0.055 0.555 0.721
0.555 0.666 0.721
0.000 0.000 0.000
0.834 0.945 0.279
0.500 0.500 0.000
0.750 0.250 0.500
0.250 0.750 0.500



[3]
La5Pd2Au (PBE, relaxed); total magnetic moment = 0.000 μB/cell; Fermi-level density of states = 1.326 states/eV per atom; DFT total energy = -86.14 eV/cell; symmetry = I4/mcm, No. 140
1.0
-5.672 2.810 5.340
-3.635 -7.441 0.055
8.495 0.476 2.351
Au Pd La
2 4 10
Direct
0.750 0.750 0.500
0.250 0.250 0.500
0.629 0.129 0.000
0.871 0.629 0.000
0.371 0.871 0.000
0.129 0.371 0.000
0.307 0.807 0.291
0.484 0.307 0.291
0.984 0.484 0.291
0.516 0.693 0.709
0.693 0.193 0.709
0.807 0.984 0.291
0.016 0.516 0.709
0.000 0.000 0.000
0.500 0.500 0.000
0.193 0.016 0.709